[1]
PBE SrPd, relaxed; energy = -3.862 eV per atom; symmetry = P4_2/mnm; DFT formation energy = -81.9 kJ/mol of formula units
1.0
-3.1820 -2.4006 4.7152
1.6628 -5.6771 -1.7682
4.9733 0.3550 3.5370
Sr Pd
4 4
Direct
0.2050 0.7950 0.0000
0.7050 0.7050 0.5000
0.2950 0.2950 0.5000
0.7950 0.2050 0.0000
0.3254 0.3254 0.0000
0.8254 0.1746 0.5000
0.1746 0.8254 0.5000
0.6746 0.6746 0.0000


[2]
PBE Sm12Er3Pu, relaxed; energy = -5.247 eV per atom; symmetry = P4/mmm; DFT formation energy = 67.7 kJ/mol of formula units
1.0
-3.4061 -0.8133 3.6827
3.6032 -2.1674 2.8539
4.4488 18.0689 8.1053
Sm Er Pu
12 3 1
Direct
0.5000 0.5000 0.0000
0.5000 0.5000 0.2499
0.5000 0.5000 0.5000
0.5000 0.5000 0.7501
0.5000 0.0000 0.1228
0.5000 0.0000 0.3743
0.5000 0.0000 0.6257
0.5000 0.0000 0.8772
0.0000 0.5000 0.1228
0.0000 0.5000 0.3743
0.0000 0.5000 0.6257
0.0000 0.5000 0.8772
0.0000 0.0000 0.2493
0.0000 0.0000 0.5000
0.0000 0.0000 0.7507
0.0000 0.0000 0.0000


[3]
PBE K2CdI2Br2, relaxed; energy = -2.560 eV per atom; symmetry = C2/m
1.0
4.5357 -0.0008 0.0007
-0.0008 8.2650 0.4602
2.2665 3.8594 7.4534
K Cd I Br
2 1 2 2
Direct
0.1557 0.6993 0.6889
0.8443 0.3007 0.3111
0.0000 0.0000 0.0000
0.5249 0.2815 0.9506
0.4751 0.7185 0.0494
0.1846 0.1319 0.6306
0.8154 0.8681 0.3694


[4]
PBE Na2TiMnS4, relaxed; energy = -5.626 eV per atom; symmetry = P2/m
1.0
3.5900 0.0000 0.0000
0.0000 6.4298 0.0869
0.0000 -2.2566 6.5252
Na Ti Mn S
2 1 1 4
Direct
0.5000 0.0000 0.5000
0.0000 0.5000 0.5000
0.5000 0.5000 0.0000
0.0000 0.0000 0.0000
0.5000 0.2375 0.2011
0.5000 0.7625 0.7989
0.0000 0.2748 0.7881
0.0000 0.7252 0.2119